This record from Alexandria via LeMat-Bulk describes a crystal of Li4Ti3Mn3V2O16 relaxed with PBEsol. The functional is SCAN.

Calculated values
Energy relative to the elements, uncorrected in meV/atom: -2662.0
Total magnetic moment in μB per atom: 0.5350
ρ in g/cm3: 4.2

Cell lengths 5.774, 5.774, 9.416 Å; angles 89.78, 89.78, 60.52 degrees
Each line ends with the local moment (μB).
Sites, in units of the cell vectors:
Li 0.670 0.670 0.105  0.00
Li 0.998 0.998 0.007  0.00
Li 0.995 0.995 0.504  0.00
Li 0.334 0.334 0.602  0.00
Ti 0.341 0.836 0.783  0.15
Ti 0.836 0.341 0.783  0.15
Ti 0.169 0.169 0.281  0.18
Mn 0.831 0.831 0.790  3.71
Mn 0.172 0.658 0.288  3.52
Mn 0.658 0.172 0.288  3.52
V 0.667 0.667 0.506  1.53
V 0.342 0.342 0.014  1.60
O 0.329 0.831 0.401  -0.01
O 0.519 0.519 0.660  -0.01
O 0.669 0.669 0.897  0.00
O 0.996 0.996 0.691  0.00
O 0.994 0.994 0.193  0.01
O 0.831 0.329 0.401  -0.01
O 0.515 0.960 0.656  0.02
O 0.960 0.515 0.656  0.02
O 0.168 0.168 0.899  -0.01
O 0.827 0.827 0.409  -0.06
O 0.041 0.481 0.160  -0.02
O 0.481 0.041 0.160  -0.02
O 0.334 0.334 0.394  0.01
O 0.178 0.664 0.905  0.01
O 0.482 0.482 0.155  0.14
O 0.664 0.178 0.905  0.01


This record from Alexandria via LeMat-Bulk describes a crystal of Li4TiMnW2O12 relaxed with PBEsol. The functional is SCAN.

Calculated values
Energy relative to the elements, uncorrected in meV/atom: -2461.5
Total magnetic moment in μB per atom: 0.1487
ρ in g/cm3: 5.9

Cell lengths 5.020, 5.299, 7.299 Å; angles 85.74, 90.02, 90.00 degrees
Each line ends with the local moment (μB).
Sites, in units of the cell vectors:
Li 0.000 0.427 0.708  0.00
Li 0.500 0.915 0.214  0.00
Li 0.999 0.430 0.219  0.00
Li 0.500 0.929 0.710  0.00
Ti 0.997 0.982 0.993  0.01
Mn 0.502 0.497 0.498  2.66
W 0.000 0.999 0.495  0.01
W 0.500 0.488 0.999  0.01
O 0.700 0.213 0.567  0.04
O 0.878 0.026 0.256  0.01
O 0.676 0.826 0.951  0.00
O 0.800 0.708 0.566  0.01
O 0.193 0.699 0.070  0.00
O 0.617 0.521 0.257  0.05
O 0.385 0.512 0.754  0.01
O 0.819 0.333 0.950  0.00
O 0.198 0.319 0.449  0.04
O 0.310 0.202 0.072  0.01
O 0.118 0.018 0.752  0.00
O 0.309 0.814 0.450  0.01